The following is a PBE-GGA calculation of PmSiPd after structural relaxation, from OQMD via LeMat-Bulk.

Cell: 4.729 4.729 4.729 Å, 60.00 60.00 60.00°
Atoms (fractional coordinates):
Pd: 0.250 0.250 0.250
Pm: 0.000 0.000 0.000
Si: 0.750 0.750 0.750

The total magnetic moment is 0.001 μB/atom. For the energy above the lowest structure with this stoichiometry, the calculation gives 638 meV/atom. The calculation puts the calculated density at 6.21 Mg/m³.